Cr4ClF6 (GGA+U, relaxed); E = -5.991 eV per atom
1.0
5.4806 0.0000 0.0000
0.3308 5.4739 0.0000
2.1052 1.9865 5.7505
Cr Cl F
4 1 6
Direct
0.0000 0.0000 0.0000
0.2054 0.7327 0.4910
0.4348 0.4352 0.0045
0.7013 0.2284 0.5141
0.8595 0.5769 0.0007
0.0068 0.4276 0.5018
0.2919 0.7716 0.0680
0.4046 0.0288 0.5033
0.4554 0.4908 0.6150
0.6632 0.1431 0.9371
0.9430 0.9789 0.3894